# CuNiO2F

A relaxed CuNiO2F crystal (GGA+U, Alexandria).

Structure (extended XYZ):
```
5
Lattice="-0.9189 -0.2322 -3.6648 -1.1339 -3.5752 0.5108 -3.4738 1.2151 0.7940" Properties=species:S:1:pos:R:3 pbc="T T T"
Ni -2.7633 -1.2961 -1.1800
O -0.5669 -1.7876 0.2554
O -0.4594 -0.1161 -1.8324
Cu 0.0000 0.0000 0.0000
F -1.7369 0.6076 0.3970
```

## Properties
D(E_F): 2.62 states/eV/f.u.
symmetry: P4/mmm
DFT total energy: -4.00 eV per atom